Compound: CrReSb3
Source: the Alexandria database
Functional: PBE
Structure: relaxed

Lattice parameters (Å, degrees): 4.9843 4.9843 4.9843 90.00 90.00 90.00
Atoms (fractional coordinates):
1 Cr 0.0000 0.0000 0.0000
2 Re 0.5000 0.5000 0.5000
3 Sb 0.0000 0.0000 0.5000
4 Sb 0.0000 0.5000 0.0000
5 Sb 0.5000 0.0000 0.0000

**Calculated volume**: 123.8 Å³/cell
**Raw formation energy**: 1.3324 eV/atom
**Energy relative to the lowest polymorph listed for this composition**: 0 meV/atom
**E**: -27.776 eV/f.u.
**Calculated density**: 8.1 g/cm³
**Total moment**: 0.904 μB/atom



Compound: RbNaAs2W
Source: the Alexandria database
Functional: PBE
Structure: relaxed

Lattice parameters (Å, degrees): 4.9649 4.9649 5.9386 90.00 90.00 90.00
Atoms (fractional coordinates):
1 Rb 0.0000 0.0000 0.0000
2 Na 0.5000 0.5000 0.0000
3 As 0.0000 0.5000 0.5000
4 As 0.5000 0.0000 0.5000
5 W 0.0000 0.0000 0.5000

**Calculated volume**: 146.4 Å³/cell
**Energy relative to the elements**: 480 meV per atom
**E**: -22.137 eV/f.u.
**Calculated density**: 5.0 g/cm³
**Total moment**: 0.000 μB/atom



Compound: KGa2Se2
Source: the Alexandria database
Functional: PBE
Structure: relaxed

Lattice parameters (Å, degrees): 5.1692 5.1692 9.2935 90.00 90.00 90.00
Atoms (fractional coordinates):
1 K 0.0000 0.0000 0.0000
2 K 0.5000 0.5000 0.5000
3 Ga 0.0000 0.0000 0.3543
4 Ga 0.0000 0.0000 0.6457
5 Ga 0.5000 0.5000 0.1457
6 Ga 0.5000 0.5000 0.8543
7 Se 0.0000 0.5000 0.2500
8 Se 0.0000 0.5000 0.7500
9 Se 0.5000 0.0000 0.2500
10 Se 0.5000 0.0000 0.7500

**Calculated volume**: 248.3 Å³/cell
**Raw formation energy**: -0.5766 eV/atom
**Energy relative to the lowest polymorph listed for this composition**: 0 meV/atom
**E**: -17.004 eV/f.u.
**Calculated density**: 4.5 g/cm³
**Total moment**: 0.000 μB/atom



Compound: Ba3SmTc2N6
Source: the Alexandria database
Functional: PBE
Structure: relaxed

Lattice parameters (Å, degrees): 6.3103 6.3103 7.3664 90.00 90.00 120.00
Atoms (fractional coordinates):
1 Ba 0.0000 0.0000 0.0000
2 Ba 0.3333 0.6667 0.7062
3 Ba 0.6667 0.3333 0.2938
4 Sm 0.0000 0.0000 0.5000
5 Tc 0.3333 0.6667 0.2390
6 Tc 0.6667 0.3333 0.7610
7 N 0.1719 0.3438 0.2915
8 N 0.1719 0.8281 0.2915
9 N 0.3438 0.1719 0.7085
10 N 0.6562 0.8281 0.2915
11 N 0.8281 0.1719 0.7085
12 N 0.8281 0.6562 0.7085

**Calculated volume**: 254.0 Å³/cell
**Raw formation energy**: -0.6920 eV/atom
**E**: -89.476 eV/f.u.
**Calculated density**: 5.5 g/cm³
**Total moment**: 0.000 μB/atom